1.
Below is LiAl2VIn after structural relaxation, with properties calculated at the PBE-GGA level.

CIF file:
```
data_LiAl2VIn
_symmetry_space_group_name_H-M 'P 4/m m m'
_symmetry_Int_Tables_number 123
_symmetry_space_group_name_Hall '-P 4 2'
_cell_length_a 5.041
_cell_length_b 5.041
_cell_length_c 4.688
_cell_angle_alpha 90.00
_cell_angle_beta 90.00
_cell_angle_gamma 90.00
loop_
_atom_site_label
_atom_site_type_symbol
_atom_site_fract_x
_atom_site_fract_y
_atom_site_fract_z
Li1 Li 0.000 0.000 0.000
Al1 Al 0.000 0.500 0.500
V1 V 0.500 0.500 0.000
In1 In 0.000 0.000 0.500
```

2.
Below is LiAlZnIn after structural relaxation, with properties calculated at the PBE-GGA level.

CIF file:
```
data_LiAlZnIn
_symmetry_space_group_name_H-M 'F -4 3 m'
_symmetry_Int_Tables_number 216
_symmetry_space_group_name_Hall 'F -4 2 3'
_cell_length_a 6.651
_cell_length_b 6.651
_cell_length_c 6.651
_cell_angle_alpha 90.00
_cell_angle_beta 90.00
_cell_angle_gamma 90.00
loop_
_atom_site_label
_atom_site_type_symbol
_atom_site_fract_x
_atom_site_fract_y
_atom_site_fract_z
Li1 Li 0.000 0.000 0.000
Al1 Al 0.000 0.000 0.500
Zn1 Zn 0.250 0.250 0.750
In1 In 0.250 0.250 0.250
```

3.
Below is LiZrAlIn after structural relaxation, with properties calculated at the PBE-GGA level.

CIF file:
```
data_LiZrAlIn
_symmetry_space_group_name_H-M 'P m m m'
_symmetry_Int_Tables_number 47
_symmetry_space_group_name_Hall '-P 2 2'
_cell_length_a 4.154
_cell_length_b 4.180
_cell_length_c 4.394
_cell_angle_alpha 90.00
_cell_angle_beta 90.00
_cell_angle_gamma 90.00
loop_
_atom_site_label
_atom_site_type_symbol
_atom_site_fract_x
_atom_site_fract_y
_atom_site_fract_z
Li1 Li 0.000 0.000 0.000
Zr1 Zr 0.000 0.500 0.500
Al1 Al 0.500 0.000 0.500
In1 In 0.500 0.500 0.000
```

4.
Below is LuAlIn after structural relaxation, with properties calculated at the PBE-GGA level.

CIF file:
```
data_LuAlIn
_symmetry_space_group_name_H-M 'P -6 m 2'
_symmetry_Int_Tables_number 187
_symmetry_space_group_name_Hall 'P -6 2'
_cell_length_a 4.7537
_cell_length_b 4.7537
_cell_length_c 3.3926
_cell_angle_alpha 90.00
_cell_angle_beta 90.00
_cell_angle_gamma 120.00
loop_
_atom_site_label
_atom_site_type_symbol
_atom_site_fract_x
_atom_site_fract_y
_atom_site_fract_z
Lu1 Lu 0.0000 0.0000 0.0000
Al1 Al 0.3333 0.6667 0.5000
In1 In 0.6667 0.3333 0.5000
```

5.
Below is LuAlIn2 after structural relaxation, with properties calculated at the PBE-GGA level.

CIF file:
```
data_LuAlIn2
_symmetry_space_group_name_H-M 'P 4/m m m'
_symmetry_Int_Tables_number 123
_symmetry_space_group_name_Hall '-P 4 2'
_cell_length_a 4.459
_cell_length_b 4.459
_cell_length_c 4.522
_cell_angle_alpha 90.00
_cell_angle_beta 90.00
_cell_angle_gamma 90.00
loop_
_atom_site_label
_atom_site_type_symbol
_atom_site_fract_x
_atom_site_fract_y
_atom_site_fract_z
Lu1 Lu 0.000 0.000 0.000
Al1 Al 0.500 0.500 0.000
In1 In 0.000 0.500 0.500
```

6.
Below is LuAlIn after structural relaxation, with properties calculated at the PBE-GGA level.

CIF file:
```
data_LuAlIn
_symmetry_space_group_name_H-M 'I 4 m m'
_symmetry_Int_Tables_number 107
_symmetry_space_group_name_Hall 'I 4 -2'
_cell_length_a 3.145
_cell_length_b 3.145
_cell_length_c 15.994
_cell_angle_alpha 90.00
_cell_angle_beta 90.00
_cell_angle_gamma 90.00
loop_
_atom_site_label
_atom_site_type_symbol
_atom_site_fract_x
_atom_site_fract_y
_atom_site_fract_z
Lu1 Lu 0.000 0.000 0.000
Al1 Al 0.000 0.000 0.630
In1 In 0.000 0.000 0.806
```

7.
Below is LuAl2In after structural relaxation, with properties calculated at the PBE-GGA level.

CIF file:
```
data_LuAl2In
_symmetry_space_group_name_H-M 'R -3 m'
_symmetry_Int_Tables_number 166
_symmetry_space_group_name_Hall '-R 3 2"'
_cell_length_a 4.6229
_cell_length_b 4.6229
_cell_length_c 14.4458
_cell_angle_alpha 90.00
_cell_angle_beta 90.00
_cell_angle_gamma 120.00
loop_
_atom_site_label
_atom_site_type_symbol
_atom_site_fract_x
_atom_site_fract_y
_atom_site_fract_z
Lu1 Lu 0.0000 0.0000 0.0000
Al1 Al 0.0000 0.0000 0.2214
In1 In 0.0000 0.0000 0.5000
```

8.
Below is LuAlIn2 after structural relaxation, with properties calculated at the PBE-GGA level.

CIF file:
```
data_LuAlIn2
_symmetry_space_group_name_H-M 'R -3 m'
_symmetry_Int_Tables_number 166
_symmetry_space_group_name_Hall '-R 3 2"'
_cell_length_a 3.3343
_cell_length_b 3.3343
_cell_length_c 32.8302
_cell_angle_alpha 90.00
_cell_angle_beta 90.00
_cell_angle_gamma 120.00
loop_
_atom_site_label
_atom_site_type_symbol
_atom_site_fract_x
_atom_site_fract_y
_atom_site_fract_z
Lu1 Lu 0.0000 0.0000 0.0000
Al1 Al 0.0000 0.0000 0.5000
In1 In 0.0000 0.0000 0.0944
```

9.
Below is LuAl2In after structural relaxation, with properties calculated at the PBE-GGA level.

CIF file:
```
data_LuAl2In
_symmetry_space_group_name_H-M 'P 4/m m m'
_symmetry_Int_Tables_number 123
_symmetry_space_group_name_Hall '-P 4 2'
_cell_length_a 4.389
_cell_length_b 4.389
_cell_length_c 4.266
_cell_angle_alpha 90.00
_cell_angle_beta 90.00
_cell_angle_gamma 90.00
loop_
_atom_site_label
_atom_site_type_symbol
_atom_site_fract_x
_atom_site_fract_y
_atom_site_fract_z
Lu1 Lu 0.000 0.000 0.000
Al1 Al 0.000 0.500 0.500
In1 In 0.500 0.500 0.000
```

10.
Below is LuMgAlIn after structural relaxation, with properties calculated at the PBE-GGA level.

CIF file:
```
data_LuMgAlIn
_symmetry_space_group_name_H-M 'F -4 3 m'
_symmetry_Int_Tables_number 216
_symmetry_space_group_name_Hall 'F -4 2 3'
_cell_length_a 7.122
_cell_length_b 7.122
_cell_length_c 7.122
_cell_angle_alpha 90.00
_cell_angle_beta 90.00
_cell_angle_gamma 90.00
loop_
_atom_site_label
_atom_site_type_symbol
_atom_site_fract_x
_atom_site_fract_y
_atom_site_fract_z
Lu1 Lu 0.000 0.000 0.000
Mg1 Mg 0.000 0.000 0.500
Al1 Al 0.250 0.250 0.750
In1 In 0.250 0.250 0.250
```

11.
Below is NaLuAlIn after structural relaxation, with properties calculated at the PBE-GGA level.

CIF file:
```
data_NaLuAlIn
_symmetry_space_group_name_H-M 'F -4 3 m'
_symmetry_Int_Tables_number 216
_symmetry_space_group_name_Hall 'F -4 2 3'
_cell_length_a 7.246
_cell_length_b 7.246
_cell_length_c 7.246
_cell_angle_alpha 90.00
_cell_angle_beta 90.00
_cell_angle_gamma 90.00
loop_
_atom_site_label
_atom_site_type_symbol
_atom_site_fract_x
_atom_site_fract_y
_atom_site_fract_z
Na1 Na 0.000 0.000 0.000
Lu1 Lu 0.000 0.000 0.500
Al1 Al 0.250 0.250 0.250
In1 In 0.250 0.250 0.750
```

12.
Below is PrLuAlIn after structural relaxation, with properties calculated at the PBE-GGA level.

CIF file:
```
data_PrLuAlIn
_symmetry_space_group_name_H-M 'F -4 3 m'
_symmetry_Int_Tables_number 216
_symmetry_space_group_name_Hall 'F -4 2 3'
_cell_length_a 7.460
_cell_length_b 7.460
_cell_length_c 7.460
_cell_angle_alpha 90.00
_cell_angle_beta 90.00
_cell_angle_gamma 90.00
loop_
_atom_site_label
_atom_site_type_symbol
_atom_site_fract_x
_atom_site_fract_y
_atom_site_fract_z
Pr1 Pr 0.000 0.000 0.000
Lu1 Lu 0.000 0.000 0.500
Al1 Al 0.250 0.250 0.750
In1 In 0.250 0.250 0.250
```

13.
Below is LuScAlIn after structural relaxation, with properties calculated at the PBE-GGA level.

CIF file:
```
data_LuScAlIn
_symmetry_space_group_name_H-M 'F -4 3 m'
_symmetry_Int_Tables_number 216
_symmetry_space_group_name_Hall 'F -4 2 3'
_cell_length_a 7.102
_cell_length_b 7.102
_cell_length_c 7.102
_cell_angle_alpha 90.00
_cell_angle_beta 90.00
_cell_angle_gamma 90.00
loop_
_atom_site_label
_atom_site_type_symbol
_atom_site_fract_x
_atom_site_fract_y
_atom_site_fract_z
Lu1 Lu 0.000 0.000 0.000
Sc1 Sc 0.000 0.000 0.500
Al1 Al 0.250 0.250 0.250
In1 In 0.250 0.250 0.750
```

14.
Below is SrLuAlIn after structural relaxation, with properties calculated at the PBE-GGA level.

CIF file:
```
data_SrLuAlIn
_symmetry_space_group_name_H-M 'F -4 3 m'
_symmetry_Int_Tables_number 216
_symmetry_space_group_name_Hall 'F -4 2 3'
_cell_length_a 7.615
_cell_length_b 7.615
_cell_length_c 7.615
_cell_angle_alpha 90.00
_cell_angle_beta 90.00
_cell_angle_gamma 90.00
loop_
_atom_site_label
_atom_site_type_symbol
_atom_site_fract_x
_atom_site_fract_y
_atom_site_fract_z
Sr1 Sr 0.000 0.000 0.000
Lu1 Lu 0.000 0.000 0.500
Al1 Al 0.250 0.250 0.750
In1 In 0.250 0.250 0.250
```

15.
Below is TbLuAlIn after structural relaxation, with properties calculated at the PBE-GGA level.

CIF file:
```
data_TbLuAlIn
_symmetry_space_group_name_H-M 'F -4 3 m'
_symmetry_Int_Tables_number 216
_symmetry_space_group_name_Hall 'F -4 2 3'
_cell_length_a 7.328
_cell_length_b 7.328
_cell_length_c 7.328
_cell_angle_alpha 90.00
_cell_angle_beta 90.00
_cell_angle_gamma 90.00
loop_
_atom_site_label
_atom_site_type_symbol
_atom_site_fract_x
_atom_site_fract_y
_atom_site_fract_z
Tb1 Tb 0.000 0.000 0.000
Lu1 Lu 0.000 0.000 0.500
Al1 Al 0.250 0.250 0.250
In1 In 0.250 0.250 0.750
```

16.
Below is LuThAlIn after structural relaxation, with properties calculated at the PBE-GGA level.

CIF file:
```
data_LuThAlIn
_symmetry_space_group_name_H-M 'F -4 3 m'
_symmetry_Int_Tables_number 216
_symmetry_space_group_name_Hall 'F -4 2 3'
_cell_length_a 7.452
_cell_length_b 7.452
_cell_length_c 7.452
_cell_angle_alpha 90.00
_cell_angle_beta 90.00
_cell_angle_gamma 90.00
loop_
_atom_site_label
_atom_site_type_symbol
_atom_site_fract_x
_atom_site_fract_y
_atom_site_fract_z
Lu1 Lu 0.000 0.000 0.000
Th1 Th 0.000 0.000 0.500
Al1 Al 0.250 0.250 0.250
In1 In 0.250 0.250 0.750
```

17.
Below is TmLuAlIn after structural relaxation, with properties calculated at the PBE-GGA level.

CIF file:
```
data_TmLuAlIn
_symmetry_space_group_name_H-M 'F -4 3 m'
_symmetry_Int_Tables_number 216
_symmetry_space_group_name_Hall 'F -4 2 3'
_cell_length_a 7.264
_cell_length_b 7.264
_cell_length_c 7.264
_cell_angle_alpha 90.00
_cell_angle_beta 90.00
_cell_angle_gamma 90.00
loop_
_atom_site_label
_atom_site_type_symbol
_atom_site_fract_x
_atom_site_fract_y
_atom_site_fract_z
Tm1 Tm 0.000 0.000 0.000
Lu1 Lu 0.000 0.000 0.500
Al1 Al 0.250 0.250 0.250
In1 In 0.250 0.250 0.750
```

18.
Below is LuZrAlIn after structural relaxation, with properties calculated at the PBE-GGA level.

CIF file:
```
data_LuZrAlIn
_symmetry_space_group_name_H-M 'F -4 3 m'
_symmetry_Int_Tables_number 216
_symmetry_space_group_name_Hall 'F -4 2 3'
_cell_length_a 7.085
_cell_length_b 7.085
_cell_length_c 7.085
_cell_angle_alpha 90.00
_cell_angle_beta 90.00
_cell_angle_gamma 90.00
loop_
_atom_site_label
_atom_site_type_symbol
_atom_site_fract_x
_atom_site_fract_y
_atom_site_fract_z
Lu1 Lu 0.000 0.000 0.000
Zr1 Zr 0.000 0.000 0.500
Al1 Al 0.250 0.250 0.750
In1 In 0.250 0.250 0.250
```

19.
Below is Mg5AlIn6 after structural relaxation, with properties calculated at the PBE-GGA level.

CIF file:
```
data_Mg5AlIn6
_symmetry_space_group_name_H-M 'C 1 2/m 1'
_symmetry_Int_Tables_number 12
_symmetry_space_group_name_Hall '-C 2y'
_cell_length_a 14.351
_cell_length_b 8.812
_cell_length_c 4.634
_cell_angle_alpha 90.00
_cell_angle_beta 108.66
_cell_angle_gamma 90.00
loop_
_atom_site_label
_atom_site_type_symbol
_atom_site_fract_x
_atom_site_fract_y
_atom_site_fract_z
Mg1 Mg 0.000 0.000 0.000
Mg2 Mg 0.159 0.500 0.659
Mg3 Mg 0.169 0.000 0.668
Al1 Al 0.000 0.500 0.000
In1 In 0.000 0.247 0.500
In2 In 0.166 0.250 0.165
```

20.
Below is Mg2AlIn8 after structural relaxation, with properties calculated at the PBE-GGA level.

CIF file:
```
data_Mg2AlIn8
_symmetry_space_group_name_H-M 'P 4/m m m'
_symmetry_Int_Tables_number 123
_symmetry_space_group_name_Hall '-P 4 2'
_cell_length_a 4.752
_cell_length_b 4.752
_cell_length_c 12.429
_cell_angle_alpha 90.00
_cell_angle_beta 90.00
_cell_angle_gamma 90.00
loop_
_atom_site_label
_atom_site_type_symbol
_atom_site_fract_x
_atom_site_fract_y
_atom_site_fract_z
Mg1 Mg 0.000 0.000 0.176
Al1 Al 0.000 0.000 0.500
In1 In 0.000 0.500 0.000
In2 In 0.000 0.500 0.359
In3 In 0.500 0.500 0.182
```

no.,energy of formation (meV per atom)
1,1227
2,-33
3,-317
4,-350
5,-306
6,126
7,-39
8,204
9,-326
10,-178
11,-110
12,-374
13,-373
14,-234
15,-390
16,-253
17,-375
18,-245
19,-51
20,21